Computed, not measured: a relaxed MnCuAs2O8 crystal at the GGA+U level of DFT.

* density of states at the Fermi level: 2.8 states/eV per cell
* total DFT energy (no corrections): -70.932 eV per cell

Cell lengths 5.644, 5.644, 5.644 Å; angles 108.31, 108.31, 111.82 degrees
Last column: magnetic moment on the atom in μB.
Element x y z (fractional)
Mn1 0.000 0.000 0.000  4.20
Cu1 0.250 0.750 0.500  -0.77
As1 0.750 0.250 0.500  0.04
As2 0.500 0.500 0.000  0.01
O1 0.373 0.063 0.310  -0.18
O2 0.311 0.500 0.189  -0.18
O3 0.311 0.121 0.811  -0.18
O4 0.753 0.063 0.690  -0.18
O5 0.879 0.689 0.189  -0.18
O6 0.937 0.247 0.310  -0.18
O7 0.937 0.627 0.690  -0.18
O8 0.500 0.689 0.811  -0.18